[1]
Below is a geometry-optimized DyTa4 structure, with properties calculated at the PBE level.

Results
V = 22.5 A^3/atom
formation energy = 2.372 eV/atom
energy = -8.030 eV/atom
crystal system = cubic

a b c (Å): 4.8299 4.8299 4.8299
angles (deg): 90.00 90.00 90.00
Last column: nearest neighbours and their distance in Å.
Space group Pm-3m (No. 221)
One atom of each set of equivalent atoms:
Dy1 0.0000 0.0000 0.0000 x1  6 Ta 2.41
Ta1 0.0000 0.0000 0.5000 x3  2 Dy 2.41
Ta2 0.5000 0.5000 0.5000 x1  12 Ta 3.42

[2]
Below is a geometry-optimized K2NiW structure, with properties calculated at the PBE level.

Results
V = 31.0 A^3/atom
formation energy = 2.044 eV/atom
energy relative to the lowest polymorph listed for this composition = 1205.6 meV per atom
energy = -3.188 eV/atom
crystal system = cubic

a b c (Å): 7.9176 7.9176 7.9176
angles (deg): 90.00 90.00 90.00
Last column: nearest neighbours and their distance in Å.
Space group Fm-3m (No. 225)
One atom of each set of equivalent atoms:
K1 0.2500 0.2500 0.2500 x8  4 W 3.43, 4 Ni 3.43
Ni1 0.0000 0.0000 0.0000 x4  8 K 3.43
W1 0.0000 0.0000 0.5000 x4  8 K 3.43

[3]
Below is a geometry-optimized SrZnInNiSe structure, with properties calculated at the PBE level.

Results
V = 23.5 A^3/atom
energy relative to the lowest polymorph listed for this composition = 173.8 meV per atom
energy = -3.464 eV/atom
crystal system = orthorhombic

a b c (Å): 3.7529 3.8308 8.1580
angles (deg): 90.00 90.00 90.00
Last column: nearest neighbours and their distance in Å.
Space group Pmm2 (No. 25)
One atom of each set of equivalent atoms:
Sr1 0.0000 0.0000 0.0000 x1  4 Se 3.03, 1 Ni 3.15
Zn1 0.5000 0.0000 0.3993 x1  2 Ni 2.57, 2 Se 2.66
In1 0.5000 0.5000 0.6669 x1  4 Ni 2.72, 2 Zn 2.90
Ni1 0.0000 0.0000 0.6139 x1  2 Zn 2.57, 4 In 2.72
Se1 0.5000 0.5000 0.1733 x1  2 Zn 2.66

[4]
Below is a geometry-optimized Sm3DyTl4 structure, with properties calculated at the PBE level.

Results
V = 28.4 A^3/atom
formation energy = -0.374 eV/atom
energy relative to the lowest polymorph listed for this composition = 0.0 meV per atom
energy = -3.902 eV/atom
crystal system = tetragonal

a b c (Å): 3.8390 3.8390 15.4282
angles (deg): 90.00 90.00 90.00
Last column: nearest neighbours and their distance in Å.
Space group P4/mmm (No. 123)
One atom of each set of equivalent atoms:
Sm1 0.0000 0.0000 0.0000 x1  8 Tl 3.35
Sm2 0.0000 0.0000 0.2535 x2  8 Tl 3.34-3.35
Dy1 0.0000 0.0000 0.5000 x1  8 Tl 3.28
Tl1 0.5000 0.5000 0.1270 x2  8 Sm 3.34-3.35
Tl2 0.5000 0.5000 0.3805 x2  4 Dy 3.28, 4 Sm 3.35

[5]
Below is a geometry-optimized CuAg2Ir structure, with properties calculated at the PBE level.

Results
V = 15.6 A^3/atom
formation energy = 0.410 eV/atom
energy relative to the lowest polymorph listed for this composition = 212.1 meV per atom
energy = -4.255 eV/atom
crystal system = tetragonal

a b c (Å): 4.0374 4.0374 7.6549
angles (deg): 90.00 90.00 90.00
Last column: nearest neighbours and their distance in Å.
Space group I-4m2 (No. 119)
One atom of each set of equivalent atoms:
Cu1 0.0000 0.0000 0.0000 x2  4 Ir 2.78, 8 Ag 2.78-2.85
Ag1 0.0000 0.0000 0.5000 x2  4 Ir 2.78, 4 Ag 2.78, 4 Cu 2.85
Ag2 0.0000 0.5000 0.2500 x2  4 Cu 2.78, 4 Ag 2.78, 4 Ir 2.85
Ir1 0.0000 0.5000 0.7500 x2  4 Cu 2.78, 8 Ag 2.78-2.85